(1)
Material: Pr2DyHg8
Method: DFT, GGA-PBE
State: optimized geometry

Output
density of states at the Fermi level: 5.81 states/eV/f.u.
total DFT energy (no corrections): -0.0678 Ha/atom

Unit cell a=8.655 b=8.655 c=8.655 alpha=144.85 beta=128.61 gamma=63.79
Sites, in units of the cell vectors:
Pr (0.196, 0.196, 0.000)
Pr (0.804, 0.804, 0.000)
Dy (0.500, 0.500, 0.000)
Hg (0.069, 0.360, 0.709)
Hg (0.216, 0.000, 0.216)
Hg (0.344, 0.844, 0.500)
Hg (0.349, 0.640, 0.709)
Hg (0.651, 0.360, 0.291)
Hg (0.656, 0.156, 0.500)
Hg (0.784, 0.000, 0.784)
Hg (0.931, 0.640, 0.291)


(2)
Material: TaNbAg2
Method: DFT, GGA-PBE
State: optimized geometry

Output
polymorph energy (0 for the lowest one): 0.00 eV per formula unit
density of states at the Fermi level: 2.06 states/eV/f.u.

Unit cell a=4.678 b=4.678 c=4.678 alpha=60.00 beta=60.00 gamma=60.00
Sites, in units of the cell vectors:
Ta (0.000, 0.000, 0.000)
Nb (0.500, 0.500, 0.500)
Ag (0.250, 0.250, 0.250)
Ag (0.750, 0.750, 0.750)


(3)
Material: Be2CrTc
Method: DFT, GGA-PBE
State: optimized geometry

Output
polymorph energy (0 for the lowest one): 0.80 eV per formula unit
density of states at the Fermi level: 4.04 states/eV/f.u.

Unit cell a=3.910 b=3.910 c=3.910 alpha=60.00 beta=60.00 gamma=60.00
Sites, in units of the cell vectors:
Be (0.250, 0.250, 0.250)
Be (0.750, 0.750, 0.750)
Cr (0.000, 0.000, 0.000)
Tc (0.500, 0.500, 0.500)


(4)
Material: KBeCd2Hg
Method: DFT, GGA-PBE
State: optimized geometry

Output
density of states at the Fermi level: 2.43 states/eV/f.u.
total DFT energy (no corrections): -0.0479 Ha/atom

Unit cell a=4.977 b=4.977 c=4.996 alpha=90.00 beta=90.00 gamma=90.00
Sites, in units of the cell vectors:
K (0.000, 0.000, 0.000)
Be (0.500, 0.500, 0.500)
Cd (0.000, 0.500, 0.500)
Cd (0.500, 0.000, 0.500)
Hg (0.500, 0.500, 0.000)


(5)
Material: Sm3IrPt
Method: DFT, GGA-PBE
State: optimized geometry

Output
polymorph energy (0 for the lowest one): 0.00 eV per formula unit
density of states at the Fermi level: 2.47 states/eV/f.u.

Unit cell a=4.151 b=7.089 c=9.043 alpha=90.00 beta=90.00 gamma=90.00
Sites, in units of the cell vectors:
Sm (0.250, 0.012, 0.166)
Sm (0.250, 0.250, 0.559)
Sm (0.250, 0.488, 0.166)
Sm (0.750, 0.512, 0.834)
Sm (0.750, 0.750, 0.441)
Sm (0.750, 0.988, 0.834)
Ir (0.250, 0.250, 0.894)
Ir (0.750, 0.750, 0.106)
Pt (0.250, 0.750, 0.656)
Pt (0.750, 0.250, 0.344)


(6)
Material: KBi4Au2
Method: DFT, GGA-PBE
State: optimized geometry

Output
polymorph energy (0 for the lowest one): 0.00 eV per formula unit
density of states at the Fermi level: 0.81 states/eV/f.u.

Unit cell a=9.523 b=9.523 c=4.687 alpha=90.00 beta=90.00 gamma=90.00
Sites, in units of the cell vectors:
K (0.000, 0.000, 0.000)
K (0.500, 0.500, 0.500)
Bi (0.082, 0.320, 0.500)
Bi (0.180, 0.582, 0.000)
Bi (0.320, 0.082, 0.500)
Bi (0.418, 0.820, 0.000)
Bi (0.582, 0.180, 0.000)
Bi (0.680, 0.918, 0.500)
Bi (0.820, 0.418, 0.000)
Bi (0.918, 0.680, 0.500)
Au (0.220, 0.780, 0.500)
Au (0.280, 0.280, 0.000)
Au (0.720, 0.720, 0.000)
Au (0.780, 0.220, 0.500)


(7)
Material: HfFeAs2
Method: DFT, GGA-PBE
State: optimized geometry

Output
polymorph energy (0 for the lowest one): 1.49 eV per formula unit
density of states at the Fermi level: 2.90 states/eV/f.u.

Unit cell a=8.093 b=8.093 c=8.093 alpha=146.76 beta=146.76 gamma=47.71
Sites, in units of the cell vectors:
Hf (0.000, 0.000, 0.000)
Hf (0.750, 0.250, 0.500)
Fe (0.250, 0.750, 0.500)
Fe (0.500, 0.500, 0.000)
As (0.199, 0.625, 0.074)
As (0.375, 0.449, 0.574)
As (0.551, 0.125, 0.926)
As (0.875, 0.801, 0.426)


(8)
Material: LaMn2SiCl
Method: DFT, GGA-PBE
State: optimized geometry

Output
density of states at the Fermi level: 4.20 states/eV/f.u.
total DFT energy (no corrections): -0.1715 Ha/atom

Unit cell a=5.727 b=5.727 c=5.561 alpha=90.00 beta=90.00 gamma=90.00
Sites, in units of the cell vectors:
La (0.000, 0.000, 0.000)
Mn (0.000, 0.500, 0.000)
Mn (0.500, 0.000, 0.000)
Si (0.000, 0.000, 0.500)
Cl (0.500, 0.500, 0.500)


(9)
Material: Hg3BO
Method: DFT, GGA-PBE
State: optimized geometry

Output
polymorph energy (0 for the lowest one): 0.00 eV per formula unit
density of states at the Fermi level: 5.05 states/eV/f.u.

Unit cell a=4.565 b=4.565 c=4.565 alpha=90.00 beta=90.00 gamma=90.00
Sites, in units of the cell vectors:
Hg (0.000, 0.000, 0.500)
Hg (0.000, 0.500, 0.000)
Hg (0.500, 0.000, 0.000)
B (0.000, 0.000, 0.000)
O (0.500, 0.500, 0.500)


(10)
Material: CaNdTm2Au4
Method: DFT, GGA-PBE
State: optimized geometry

Output
density of states at the Fermi level: 4.83 states/eV/f.u.
total DFT energy (no corrections): -0.1623 Ha/atom

Unit cell a=8.886 b=8.886 c=8.886 alpha=33.33 beta=33.33 gamma=33.33
Sites, in units of the cell vectors:
Ca (0.000, 0.000, 0.000)
Nd (0.500, 0.500, 0.500)
Tm (0.253, 0.253, 0.253)
Tm (0.747, 0.747, 0.747)
Au (0.125, 0.125, 0.125)
Au (0.376, 0.376, 0.376)
Au (0.624, 0.624, 0.624)
Au (0.875, 0.875, 0.875)


(11)
Material: LiCu6Pd8
Method: DFT, GGA-PBE
State: optimized geometry

Output
density of states at the Fermi level: 13.42 states/eV/f.u.
total DFT energy (no corrections): -0.1665 Ha/atom

Unit cell a=9.521 b=9.521 c=2.787 alpha=90.00 beta=90.00 gamma=120.00
Sites, in units of the cell vectors:
Li (0.000, 0.000, 0.000)
Cu (0.090, 0.611, 0.753)
Cu (0.389, 0.479, 0.753)
Cu (0.479, 0.090, 0.247)
Cu (0.521, 0.910, 0.753)
Cu (0.611, 0.521, 0.247)
Cu (0.910, 0.389, 0.247)
Pd (0.083, 0.300, 0.740)
Pd (0.217, 0.917, 0.740)
Pd (0.300, 0.217, 0.260)
Pd (0.333, 0.667, 0.252)
Pd (0.667, 0.333, 0.748)
Pd (0.700, 0.783, 0.740)
Pd (0.783, 0.083, 0.260)
Pd (0.917, 0.700, 0.260)


(12)
Material: RuWCl
Method: DFT, GGA-PBE
State: optimized geometry

Output
polymorph energy (0 for the lowest one): 1.17 eV per formula unit
density of states at the Fermi level: 1.93 states/eV/f.u.

Unit cell a=4.215 b=4.215 c=2.913 alpha=90.00 beta=90.00 gamma=120.00
Sites, in units of the cell vectors:
Ru (0.000, 0.000, 0.000)
W (0.333, 0.667, 0.500)
Cl (0.667, 0.333, 0.500)


(13)
Material: Li2GaAg
Method: DFT, GGA-PBE
State: optimized geometry

Output
density of states at the Fermi level: 1.38 states/eV/f.u.
total DFT energy (no corrections): -0.0999 Ha/atom

Unit cell a=4.458 b=4.458 c=4.458 alpha=60.00 beta=60.00 gamma=60.00
Sites, in units of the cell vectors:
Li (0.000, 0.000, 0.000)
Li (0.250, 0.250, 0.250)
Ga (0.750, 0.750, 0.750)
Ag (0.500, 0.500, 0.500)


(14)
Material: KLaRuF2
Method: DFT, GGA-PBE
State: optimized geometry

Output
density of states at the Fermi level: 1.16 states/eV/f.u.
total DFT energy (no corrections): -0.1968 Ha/atom

Unit cell a=4.880 b=4.880 c=5.137 alpha=90.00 beta=90.00 gamma=90.00
Sites, in units of the cell vectors:
K (0.000, 0.000, 0.000)
La (0.500, 0.500, 0.500)
Ru (0.500, 0.500, 0.000)
F (0.000, 0.500, 0.500)
F (0.500, 0.000, 0.500)


(15)
Material: YInTe5Pb2
Method: DFT, GGA-PBE
State: optimized geometry

Output
total DFT energy (no corrections): -0.1553 Ha/atom

Unit cell a=10.357 b=10.357 c=14.265 alpha=90.00 beta=90.00 gamma=155.38
Sites, in units of the cell vectors:
Y (0.197, 0.803, 0.500)
Y (0.803, 0.197, 0.000)
In (0.447, 0.553, 0.909)
In (0.553, 0.447, 0.409)
Te (0.041, 0.959, 0.532)
Te (0.298, 0.702, 0.153)
Te (0.312, 0.688, 0.846)
Te (0.349, 0.651, 0.492)
Te (0.478, 0.522, 0.246)
Te (0.522, 0.478, 0.746)
Te (0.651, 0.349, 0.992)
Te (0.688, 0.312, 0.346)
Te (0.702, 0.298, 0.653)
Te (0.959, 0.041, 0.032)
Pb (0.126, 0.874, 0.804)
Pb (0.146, 0.854, 0.146)
Pb (0.854, 0.146, 0.646)
Pb (0.874, 0.126, 0.304)


(16)
Material: Pm6GePb6
Method: DFT, GGA-PBE
State: optimized geometry

Output
density of states at the Fermi level: 6.13 states/eV/f.u.
total DFT energy (no corrections): -0.1714 Ha/atom

Unit cell a=6.718 b=6.718 c=10.608 alpha=90.00 beta=90.00 gamma=120.00
Sites, in units of the cell vectors:
Pm (0.000, 0.000, 0.231)
Pm (0.000, 0.000, 0.769)
Pm (0.333, 0.667, 0.000)
Pm (0.333, 0.667, 0.500)
Pm (0.667, 0.333, 0.000)
Pm (0.667, 0.333, 0.500)
Ge (0.000, 0.000, 0.500)
Pb (0.000, 0.500, 0.247)
Pb (0.000, 0.500, 0.753)
Pb (0.500, 0.000, 0.247)
Pb (0.500, 0.000, 0.753)
Pb (0.500, 0.500, 0.247)
Pb (0.500, 0.500, 0.753)


(17)
Material: EuNb2C
Method: DFT, GGA-PBE
State: optimized geometry

Output
density of states at the Fermi level: 3.83 states/eV/f.u.
total DFT energy (no corrections): -0.3620 Ha/atom

Unit cell a=8.846 b=8.846 c=8.846 alpha=20.93 beta=20.93 gamma=20.93
Sites, in units of the cell vectors:
Eu (0.000, 0.000, 0.000)
Nb (0.122, 0.122, 0.122)
Nb (0.878, 0.878, 0.878)
C (0.500, 0.500, 0.500)


(18)
Material: TiCuPd
Method: DFT, GGA-PBE
State: optimized geometry

Output
polymorph energy (0 for the lowest one): 0.36 eV per formula unit
density of states at the Fermi level: 2.59 states/eV/f.u.

Unit cell a=4.328 b=4.328 c=2.689 alpha=90.00 beta=90.00 gamma=120.00
Sites, in units of the cell vectors:
Ti (0.000, 0.000, 0.000)
Cu (0.667, 0.333, 0.635)
Pd (0.333, 0.667, 0.329)


(19)
Material: La2CoSiC
Method: DFT, GGA-PBE
State: optimized geometry

Output
density of states at the Fermi level: 5.41 states/eV/f.u.
total DFT energy (no corrections): -0.2425 Ha/atom

Unit cell a=5.354 b=5.354 c=3.643 alpha=90.00 beta=90.00 gamma=90.00
Sites, in units of the cell vectors:
La (0.000, 0.500, 0.000)
La (0.500, 0.000, 0.000)
Co (0.000, 0.000, 0.500)
Si (0.500, 0.500, 0.500)
C (0.000, 0.000, 0.000)


(20)
Material: PuNpPaSi
Method: DFT, GGA-PBE
State: optimized geometry

Output
density of states at the Fermi level: 12.50 states/eV/f.u.
total DFT energy (no corrections): -0.3882 Ha/atom

Unit cell a=4.794 b=4.794 c=4.794 alpha=60.00 beta=60.00 gamma=60.00
Sites, in units of the cell vectors:
Pu (0.000, 0.000, 0.000)
Np (0.250, 0.250, 0.250)
Pa (0.500, 0.500, 0.500)
Si (0.750, 0.750, 0.750)


(21)
Material: Zr3Al5
Method: DFT, GGA-PBE
State: optimized geometry

Output
density of states at the Fermi level: 5.46 states/eV/f.u.
total DFT energy (no corrections): -0.2198 Ha/atom

Unit cell a=6.019 b=6.019 c=4.094 alpha=90.00 beta=90.00 gamma=90.60
Sites, in units of the cell vectors:
Zr (0.000, 0.000, 0.000)
Zr (0.265, 0.265, 0.500)
Zr (0.735, 0.735, 0.500)
Al (0.000, 0.500, 0.000)
Al (0.242, 0.758, 0.500)
Al (0.500, 0.000, 0.000)
Al (0.500, 0.500, 0.000)
Al (0.758, 0.242, 0.500)


(22)
Material: Ce2AgH
Method: DFT, GGA-PBE
State: optimized geometry

Output
polymorph energy (0 for the lowest one): 0.21 eV per formula unit
density of states at the Fermi level: 8.28 states/eV/f.u.

Unit cell a=3.217 b=3.217 c=7.318 alpha=90.00 beta=90.00 gamma=90.00
Sites, in units of the cell vectors:
Ce (0.000, 0.000, 0.184)
Ce (0.000, 0.000, 0.816)
Ag (0.500, 0.500, 0.500)
H (0.500, 0.500, 0.000)


(23)
Material: LaReAu2
Method: DFT, GGA-PBE
State: optimized geometry

Output
polymorph energy (0 for the lowest one): 0.44 eV per formula unit
density of states at the Fermi level: 4.04 states/eV/f.u.

Unit cell a=3.046 b=3.046 c=8.566 alpha=90.00 beta=90.00 gamma=90.00
Sites, in units of the cell vectors:
La (0.000, 0.000, 0.000)
Re (0.000, 0.000, 0.500)
Au (0.500, 0.500, 0.287)
Au (0.500, 0.500, 0.713)


(24)
Material: TaAu
Method: DFT, GGA-PBE
State: optimized geometry

Output
density of states at the Fermi level: 2.05 states/eV/f.u.
total DFT energy (no corrections): -0.2734 Ha/atom

Unit cell a=5.154 b=5.154 c=5.154 alpha=133.12 beta=133.12 gamma=68.46
Sites, in units of the cell vectors:
Ta (0.375, 0.625, 0.750)
Ta (0.625, 0.375, 0.250)
Au (0.125, 0.875, 0.250)
Au (0.875, 0.125, 0.750)


(25)
Material: Ca2MgCu4
Method: DFT, GGA-PBE
State: optimized geometry

Output
polymorph energy (0 for the lowest one): 0.82 eV per formula unit
density of states at the Fermi level: 4.41 states/eV/f.u.

Unit cell a=11.018 b=11.018 c=11.018 alpha=21.51 beta=21.51 gamma=21.51
Sites, in units of the cell vectors:
Ca (0.247, 0.247, 0.247)
Ca (0.753, 0.753, 0.753)
Mg (0.500, 0.500, 0.500)
Cu (0.036, 0.036, 0.036)
Cu (0.344, 0.344, 0.344)
Cu (0.656, 0.656, 0.656)
Cu (0.964, 0.964, 0.964)


(26)
Material: LaRuPt2
Method: DFT, GGA-PBE
State: optimized geometry

Output
density of states at the Fermi level: 6.44 states/eV/f.u.
total DFT energy (no corrections): -0.2316 Ha/atom

Unit cell a=9.966 b=9.966 c=9.966 alpha=16.86 beta=16.86 gamma=16.86
Sites, in units of the cell vectors:
La (0.000, 0.000, 0.000)
Ru (0.240, 0.240, 0.240)
Pt (0.502, 0.502, 0.502)
Pt (0.758, 0.758, 0.758)


Record-wise size of the total moment values, in Bohr magnetons per cell: 0.00; 0.00; 0.00; 0.00; 0.00; 0.00; 2.81; 7.90; 0.99; 0.00; 0.00; 0.00; 0.00; 1.21; 0.00; 0.00; 7.48; 0.00; 0.56; 1.72; 0.00; 1.56; 0.00; 1.38; 0.00; 0.33